# SnW2CF

An optimized crystal structure of SnW2CF (GGA+U, Alexandria).

abc: 5.557 5.557 4.211
angles: 90.00 90.00 90.00
Space group P4/mmm (No. 123)
One atom of each set of equivalent atoms:
Sn  0.000  0.000  0.000 [1 per cell]
W  0.000  0.500  0.000 [2 per cell]
C  0.000  0.000  0.500 [1 per cell]
F  0.500  0.500  0.500 [1 per cell]

M_tot in Bohr magnetons per cell: 8.02
DFT total energy in eV per atom: -3.8173